Record 1
# SCAN K2TbPCO7, PBEsol geometry
data_K2TbPCO7
_space_group_name_H-M_alt 'P 1'
_space_group_IT_number 1
_cell_length_a 5.651
_cell_length_b 7.087
_cell_length_c 9.955
_cell_angle_alpha 90.00
_cell_angle_beta 90.64
_cell_angle_gamma 90.00
loop_
_space_group_symop_operation_xyz
'x,y,z'
loop_
_atom_site_label
_atom_site_type_symbol
_atom_site_fract_x
_atom_site_fract_y
_atom_site_fract_z
_atom_site_occupancy
K1 K 0.743 0.483 0.785 1
O1 O 0.434 0.750 0.808 1
P1 P 0.711 0.750 0.433 1
O2 O 0.201 0.070 0.638 1
C1 C 0.258 0.750 0.895 1
K2 K 0.257 0.517 0.215 1
O3 O 0.435 0.750 0.437 1
P2 P 0.289 0.250 0.567 1
O4 O 0.811 0.750 0.580 1
O5 O 0.799 0.930 0.362 1
O6 O 0.047 0.750 0.838 1
O7 O 0.189 0.250 0.420 1
Tb1 Tb 0.203 0.750 0.620 1
O8 O 0.953 0.250 0.162 1
C2 C 0.742 0.250 0.105 1
O9 O 0.707 0.250 0.981 1
K3 K 0.743 0.017 0.785 1
O10 O 0.799 0.570 0.362 1
O11 O 0.566 0.250 0.192 1
O12 O 0.293 0.750 0.019 1
O13 O 0.201 0.430 0.638 1
K4 K 0.257 0.983 0.215 1
Tb2 Tb 0.797 0.250 0.380 1
O14 O 0.565 0.250 0.563 1
# Space group   P2_1/m (11)

***

Record 2
# SCAN K3TlPCO7, PBEsol geometry
data_K3TlPCO7
_space_group_name_H-M_alt 'P 1'
_space_group_IT_number 1
_cell_length_a 5.640
_cell_length_b 7.298
_cell_length_c 10.026
_cell_angle_alpha 90.00
_cell_angle_beta 91.24
_cell_angle_gamma 90.00
loop_
_space_group_symop_operation_xyz
'x,y,z'
loop_
_atom_site_label
_atom_site_type_symbol
_atom_site_fract_x
_atom_site_fract_y
_atom_site_fract_z
_atom_site_occupancy
K1 K 0.255 0.002 0.254 1
O1 O 0.049 0.750 0.865 1
K2 K 0.241 0.250 0.921 1
C1 C 0.253 0.750 0.928 1
C2 C 0.747 0.250 0.072 1
O2 O 0.795 0.581 0.327 1
Tl1 Tl 0.230 0.750 0.623 1
K3 K 0.759 0.750 0.079 1
O3 O 0.951 0.250 0.135 1
O4 O 0.449 0.750 0.862 1
P1 P 0.713 0.750 0.409 1
P2 P 0.287 0.250 0.591 1
O5 O 0.205 0.419 0.673 1
O6 O 0.740 0.250 0.942 1
O7 O 0.564 0.250 0.587 1
O8 O 0.260 0.750 0.058 1
K4 K 0.255 0.498 0.254 1
K5 K 0.745 0.502 0.746 1
O9 O 0.187 0.250 0.446 1
O10 O 0.205 0.081 0.673 1
O11 O 0.813 0.750 0.554 1
O12 O 0.551 0.250 0.138 1
O13 O 0.795 0.919 0.327 1
O14 O 0.436 0.750 0.413 1
Tl2 Tl 0.770 0.250 0.377 1
K6 K 0.745 0.998 0.746 1
# Space group   P2_1/m (11)

***

Record 3
# SCAN K2TmPCO7, PBEsol geometry
data_K2TmPCO7
_space_group_name_H-M_alt 'P 1'
_space_group_IT_number 1
_cell_length_a 5.673
_cell_length_b 6.987
_cell_length_c 9.910
_cell_angle_alpha 90.00
_cell_angle_beta 90.04
_cell_angle_gamma 90.00
loop_
_space_group_symop_operation_xyz
'x,y,z'
loop_
_atom_site_label
_atom_site_type_symbol
_atom_site_fract_x
_atom_site_fract_y
_atom_site_fract_z
_atom_site_occupancy
O1 O 0.441 0.750 0.450 1
O2 O 0.293 0.750 0.020 1
P1 P 0.715 0.750 0.435 1
K1 K 0.255 0.983 0.219 1
O3 O 0.559 0.250 0.550 1
O4 O 0.793 0.567 0.359 1
K2 K 0.745 0.483 0.781 1
O5 O 0.707 0.250 0.980 1
Tm1 Tm 0.207 0.750 0.625 1
P2 P 0.285 0.250 0.565 1
O6 O 0.169 0.250 0.423 1
K3 K 0.255 0.517 0.219 1
O7 O 0.207 0.067 0.641 1
O8 O 0.793 0.933 0.359 1
O9 O 0.949 0.250 0.162 1
O10 O 0.564 0.250 0.193 1
C1 C 0.260 0.750 0.895 1
O11 O 0.207 0.433 0.641 1
O12 O 0.436 0.750 0.807 1
Tm2 Tm 0.793 0.250 0.375 1
O13 O 0.051 0.750 0.838 1
O14 O 0.831 0.750 0.577 1
K4 K 0.745 0.017 0.781 1
C2 C 0.740 0.250 0.105 1
# Space group   P2_1/m (11)

***

What did we get for E_form (uncorrected)? Answer: -2.5945 -1.9626 -2.6153 eV per atom, in the order shown.
What did we get for DOS at the Fermi energy? Answer: 0.0 2.6 0.0 states/eV/f.u., in the order shown.